Density functional theory data (PBE) for Pr3Zn2Au after structural relaxation.

## Properties
**Crystal system**: trigonal
**DOS(E_F)**: 6.24 states/eV/cell
**ΔH_f (0 K)**: -2.639 eV per formula unit
**E_tot**: -3.800 eV/atom

a b c (Å): 5.268 5.268 6.485
angles (deg): 90.00 90.00 120.00
Fractional positions:
Pr1 0.000 0.000 0.000
Pr2 0.333 0.667 0.663
Pr3 0.667 0.333 0.337
Zn1 0.333 0.667 0.150
Zn2 0.667 0.333 0.850
Au1 0.000 0.000 0.500